FeSbRh2 | PBEsol | optimized geometry

Cell lengths 3.980, 3.980, 7.277 Å; angles 90.00, 90.00, 90.00 degrees
Fractional coordinates of all 8 atoms:
Fe 0.000 0.000 0.000
Fe 0.500 0.500 0.500
Sb 0.000 0.000 0.500
Sb 0.500 0.500 0.000
Rh 0.000 0.500 0.250
Rh 0.000 0.500 0.750
Rh 0.500 0.000 0.250
Rh 0.500 0.000 0.750

Summary:
**Size of the total moment**: 3.28 μB per formula unit
**V**: 115.3 Å³/cell
**Final energy**: -61.27 eV for the cell shown
**Uncorrected formation energy**: -209 meV/atom